No. 1
DFT (GGA-PBE) results for crystalline SrTbPrIn at its relaxed geometry.

abc: 5.687 5.687 5.687
angles: 60.00 60.00 60.00
Sites, in units of the cell vectors:
1 Sr 0.000 0.000 0.000
2 Tb 0.750 0.750 0.750
3 Pr 0.250 0.250 0.250
4 In 0.500 0.500 0.500

Summary:
SG = F-43m, No. 216
calculated formation energy = -0.06 eV/atom

***

No. 2
DFT (GGA-PBE) results for crystalline Ac3RuPb at its relaxed geometry.

abc: 5.685 5.685 5.685
angles: 90.00 90.00 90.00
Sites, in units of the cell vectors:
1 Ac 0.000 0.000 0.500
2 Ac 0.000 0.500 0.000
3 Ac 0.500 0.000 0.000
4 Ru 0.000 0.000 0.000
5 Pb 0.500 0.500 0.500

Summary:
SG = Pm-3m, No. 221
calculated formation energy = -0.32 eV/atom
energy relative to the lowest polymorph listed for this composition = 40 meV per atom

***

Sequential spin magnetization output: 0.00, 0.00 μB per formula unit